1.
Ho7AsBr12: optimized geometry, PBE-GGA. Values from VASP.

Quantum ESPRESSO input file:
```
&SYSTEM
  ibrav = 0, nat = 20, ntyp = 3
/
ATOMIC_SPECIES
Br 79.90 Br.upf
Ho 164.93 Ho.upf
As 74.92 As.upf
ATOMIC_POSITIONS crystal
Br 0.3131 0.7738 0.9234
Br 0.5315 0.8407 0.6111
Br 0.1593 0.3889 0.4685
Br 0.4685 0.1593 0.3889
Br 0.6869 0.2262 0.0766
Br 0.3889 0.4685 0.1593
Br 0.0766 0.6869 0.2262
Br 0.8407 0.6111 0.5315
Br 0.7738 0.9234 0.3131
Br 0.6111 0.5315 0.8407
Br 0.9234 0.3131 0.7738
Br 0.2262 0.0766 0.6869
Ho 0.3216 0.1078 0.0338
Ho 0.5000 0.5000 0.5000
Ho 0.6784 0.8922 0.9662
Ho 0.1078 0.0338 0.3216
Ho 0.8922 0.9662 0.6784
Ho 0.0338 0.3216 0.1078
Ho 0.9662 0.6784 0.8922
As 0.0000 0.0000 0.0000
CELL_PARAMETERS angstrom
-6.0218 -2.3717 -6.4180
7.8492 -4.2778 -1.7799
-3.0975 -3.0151 8.0245
```

Values from the calculation:
**M_tot**: 0.0 μB/cell
**Formation energy from raw total energies**: -1.628 eV/atom
**SG**: R-3 (148)

2.
Ho6As5Br: optimized geometry, PBE-GGA. Values from VASP.

Quantum ESPRESSO input file:
```
&SYSTEM
  ibrav = 0, nat = 12, ntyp = 3
/
ATOMIC_SPECIES
Ho 164.93 Ho.upf
As 74.92 As.upf
Br 79.90 Br.upf
ATOMIC_POSITIONS crystal
Ho 0.2583 0.2660 0.0000
Ho 0.2608 0.5601 0.3525
Ho 0.7392 0.0874 0.3525
Ho 0.2608 0.9126 0.6475
Ho 0.7417 0.7340 0.0000
Ho 0.7392 0.4399 0.6475
As 0.0000 0.6677 0.6645
As 0.5000 0.8398 0.3203
As 0.0000 0.3323 0.3355
As 0.5000 0.1602 0.6797
As 0.5000 0.5000 0.0000
Br 0.0000 0.0000 0.0000
CELL_PARAMETERS angstrom
7.0202 0.1742 1.0681
1.7256 5.9786 3.4845
0.1174 0.0719 7.1170
```

Values from the calculation:
**M_tot**: 0.0 μB/cell
**Formation energy from raw total energies**: -1.506 eV/atom
**SG**: C2/m (12)

3.
HoAsBrO4: optimized geometry, PBE-GGA. Values from VASP.

Quantum ESPRESSO input file:
```
&SYSTEM
  ibrav = 0, nat = 14, ntyp = 4
/
ATOMIC_SPECIES
Ho 164.93 Ho.upf
O 16.00 O.upf
As 74.92 As.upf
Br 79.90 Br.upf
ATOMIC_POSITIONS crystal
Ho 0.7030 0.7030 0.1690
Ho 0.2970 0.2970 0.8310
O 0.4865 0.4865 0.7678
O 0.4759 0.8881 0.8733
O 0.7040 0.7040 0.4906
O 0.2960 0.2960 0.5094
O 0.8881 0.4759 0.8733
O 0.1119 0.5241 0.1267
O 0.5135 0.5135 0.2322
O 0.5241 0.1119 0.1267
As 0.6348 0.6348 0.7371
As 0.3652 0.3652 0.2629
Br 0.0223 0.0223 0.3264
Br 0.9777 0.9777 0.6736
CELL_PARAMETERS angstrom
6.5535 0.7715 -0.3766
2.8987 5.9280 -0.3766
1.5297 1.0842 6.5017
```

Values from the calculation:
**M_tot**: 0.0 μB/cell
**Formation energy from raw total energies**: -1.913 eV/atom
**SG**: C2/m (12)